This record from Alexandria via LeMat-Bulk describes AcYZnPb after structural relaxation. The functional is PBE-GGA.

Values from the calculation:
The symmetry is No. 216. The total energy comes out at -4.2270 eV/atom. The energy relative to the elements is -1.35 eV/f.u. Its spin magnetization is 0.00 μB/cell.

Unit cell a=5.509 b=5.509 c=5.509 alpha=60.00 beta=60.00 gamma=60.00
Atoms (fractional coordinates):
1 Pb 0.500 0.500 0.500
2 Zn 0.000 0.000 0.000
3 Y 0.750 0.750 0.750
4 Ac 0.250 0.250 0.250

=====

This record from Alexandria via LeMat-Bulk describes Ac2Zn2Pb after structural relaxation. The functional is PBE-GGA.

Values from the calculation:
The symmetry is No. 12. The total energy comes out at -3.2198 eV/atom. The energy relative to the elements is -1.63 eV/f.u. Its spin magnetization is 0.00 μB/cell.

Unit cell a=4.667 b=6.582 c=11.002 alpha=82.56 beta=77.76 gamma=69.24
Atoms (fractional coordinates):
1 Ac 0.700 0.256 0.345
2 Ac 0.100 0.698 0.101
3 Ac 0.300 0.744 0.655
4 Ac 0.900 0.302 0.899
5 Zn 0.622 0.859 0.896
6 Zn 0.027 0.359 0.586
7 Zn 0.973 0.641 0.414
8 Zn 0.378 0.141 0.104
9 Pb 0.587 0.152 0.673
10 Pb 0.413 0.848 0.327